1.
First-principles (GGA-PBE) data for a relaxed RbPaReO6 crystal, as listed in the Alexandria database.

Output
Space group = Imma (74)
E_form (uncorrected) = -2.420 eV/atom
Crystal system = orthorhombic

a b c (Å): 7.6898 7.6898 7.6898
angles (deg): 122.07 117.69 90.25
Closest atoms and distances in Å follow each position.
Fractional positions:
Rb 0.3553 0.1053 0.2500  12 O 3.38-3.74
Rb 0.6447 0.8947 0.7500  12 O 3.38-3.74
Pa 0.0000 0.5000 0.5000  6 O 2.16-2.20
Pa 0.5000 0.5000 0.0000  6 O 2.16-2.20
Re 0.0000 0.0000 0.5000  6 O 1.90-1.93
Re 0.0000 0.5000 0.0000  6 O 1.90-1.93
O 0.0342 0.7842 0.2500  2 Re 1.90
O 0.0485 0.4134 0.2078  1 Re 1.93
O 0.0485 0.8407 0.6350  1 Re 1.93
O 0.2944 0.1593 0.7078  1 Re 1.93
O 0.2944 0.5866 0.1350  1 Re 1.93
O 0.3280 0.5780 0.7500  2 Pa 2.16
O 0.6720 0.4220 0.2500  2 Pa 2.16
O 0.7056 0.4134 0.8650  1 Re 1.93
O 0.7056 0.8407 0.2922  1 Re 1.93
O 0.9515 0.1593 0.3650  1 Re 1.93
O 0.9515 0.5866 0.7922  1 Re 1.93
O 0.9658 0.2158 0.7500  2 Re 1.90

2.
First-principles (GGA-PBE) data for a relaxed BaCaSc2 crystal, as listed in the Alexandria database.

Output
Space group = Immm (71)
Crystal system = orthorhombic
Formation energy from the elements = 0.373 eV/atom
Excess energy over the best structure of this formula in the dataset = 177 meV/atom

a b c (Å): 6.7952 6.7952 6.7952
angles (deg): 145.31 129.58 62.65
Closest atoms and distances in Å follow each position.
Fractional positions:
Ba 0.0000 0.0000 0.0000  4 Ca 3.53, 4 Sc 3.64
Ca 0.5000 0.5000 0.0000  4 Sc 3.44, 4 Ba 3.53
Sc 0.2607 0.7607 0.5000  2 Ca 3.44, 4 Sc 3.54, 2 Ba 3.64
Sc 0.7393 0.2393 0.5000  2 Ca 3.44, 4 Sc 3.54, 2 Ba 3.64

What did the first record say?
First-principles (GGA-PBE) data for a relaxed RbPaReO6 crystal, as listed in the Alexandria database.

Output
Space group = Imma (74)
E_form (uncorrected) = -2.420 eV/atom
Crystal system = orthorhombic

a b c (Å): 7.6898 7.6898 7.6898
angles (deg): 122.07 117.69 90.25
Closest atoms and distances in Å follow each position.
Fractional positions:
Rb 0.3553 0.1053 0.2500  12 O 3.38-3.74
Rb 0.6447 0.8947 0.7500  12 O 3.38-3.74
Pa 0.0000 0.5000 0.5000  6 O 2.16-2.20
Pa 0.5000 0.5000 0.0000  6 O 2.16-2.20
Re 0.0000 0.0000 0.5000  6 O 1.90-1.93
Re 0.0000 0.5000 0.0000  6 O 1.90-1.93
O 0.0342 0.7842 0.2500  2 Re 1.90
O 0.0485 0.4134 0.2078  1 Re 1.93
O 0.0485 0.8407 0.6350  1 Re 1.93
O 0.2944 0.1593 0.7078  1 Re 1.93
O 0.2944 0.5866 0.1350  1 Re 1.93
O 0.3280 0.5780 0.7500  2 Pa 2.16
O 0.6720 0.4220 0.2500  2 Pa 2.16
O 0.7056 0.4134 0.8650  1 Re 1.93
O 0.7056 0.8407 0.2922  1 Re 1.93
O 0.9515 0.1593 0.3650  1 Re 1.93
O 0.9515 0.5866 0.7922  1 Re 1.93
O 0.9658 0.2158 0.7500  2 Re 1.90